[1]
A relaxed structure of BeSiRu. Source: the Alexandria database, functional PBE-GGA.

a = 4.3709 Å, b = 4.3709 Å, c = 4.3709 Å
α = 140.13°, β = 140.13°, γ = 57.65°
Closest atoms and distances in Å follow each position.
Positions (direct):
Be 0.0000 0.0000 0.0000  5 Ru 2.45-2.57, 5 Si 2.45-2.57
Si 0.3356 0.3356 0.0000  5 Be 2.45-2.57, 5 Ru 2.48-2.52
Ru 0.6641 0.6641 0.0000  5 Be 2.45-2.57, 5 Si 2.48-2.52

Its space group is No. 107. As for the density of states at the Fermi level: 0.17 states/eV per cell. As for the uncorrected formation energy: -169.0 kJ/mol of formula units. For the electronic total energy, the calculation gives -6.725 eV/atom. The energy above the lowest structure with this stoichiometry is 0 meV/atom. Its volume is 11.34 Å³ per atom.

[2]
A relaxed structure of BeSi3Ru. Source: the Alexandria database, functional PBE-GGA.

a = 4.5945 Å, b = 4.5945 Å, c = 4.5945 Å
α = 90.00°, β = 90.00°, γ = 90.00°
Closest atoms and distances in Å follow each position.
Positions (direct):
Be 0.0000 0.0000 0.0000  12 Si 3.25
Si 0.0000 0.5000 0.5000  2 Ru 2.30
Si 0.5000 0.0000 0.5000  2 Ru 2.30
Si 0.5000 0.5000 0.0000  2 Ru 2.30
Ru 0.5000 0.5000 0.5000  6 Si 2.30

Its space group is No. 221. As for the density of states at the Fermi level: 3.87 states/eV per cell. As for the uncorrected formation energy: 391.6 kJ/mol of formula units. For the electronic total energy, the calculation gives -5.043 eV/atom. The energy above the lowest structure with this stoichiometry is 0 meV/atom. Its volume is 19.40 Å³ per atom.